[1]
Here is a relaxed BaZr3N crystal from the Alexandria database. Energies are from GGA-PBE.

Computed properties:
formation energy (no corrections)	-0.06	eV per atom
energy above the lowest structure with this stoichiometry	0	meV/atom
E	-7.241	eV/atom

Cell: 4.7350 4.7350 4.7350 Å, 90.00 90.00 90.00°
Positions (direct):
Ba 0.0000 0.0000 0.0000
Zr 0.0000 0.5000 0.5000
Zr 0.5000 0.0000 0.5000
Zr 0.5000 0.5000 0.0000
N 0.5000 0.5000 0.5000

***

[2]
Here is a relaxed Ba5Zr2N6 crystal from the Alexandria database. Energies are from GGA-PBE.

Computed properties:
formation energy (no corrections)	-0.85	eV per atom
E	-6.750	eV/atom

Cell: 6.7956 6.7956 15.0106 Å, 95.26 95.26 67.19°
Positions (direct):
Ba 0.0926 0.9074 0.7500
Ba 0.1929 0.7330 0.0208
Ba 0.2670 0.8071 0.4792
Ba 0.2930 0.3972 0.2940
Ba 0.3972 0.2930 0.7940
Ba 0.6028 0.7070 0.2060
Ba 0.7070 0.6028 0.7060
Ba 0.7330 0.1929 0.5208
Ba 0.8071 0.2670 0.9792
Ba 0.9074 0.0926 0.2500
Zr 0.1521 0.4008 0.5774
Zr 0.4008 0.1521 0.0774
Zr 0.5992 0.8479 0.9226
Zr 0.8479 0.5992 0.4226
N 0.0464 0.2436 0.6632
N 0.0984 0.2968 0.4426
N 0.2436 0.0464 0.1632
N 0.2968 0.0984 0.9426
N 0.4248 0.4598 0.6203
N 0.4598 0.4248 0.1203
N 0.5402 0.5752 0.8797
N 0.5752 0.5402 0.3797
N 0.7032 0.9016 0.0574
N 0.7564 0.9536 0.8368
N 0.9016 0.7032 0.5574
N 0.9536 0.7564 0.3368

***

[3]
Here is a relaxed Ba3ZrN3 crystal from the Alexandria database. Energies are from GGA-PBE.

Computed properties:
formation energy (no corrections)	-0.64	eV per atom
E	-6.255	eV/atom

Cell: 8.4799 8.4799 5.8736 Å, 90.00 90.00 120.00°
Positions (direct):
Ba 0.1032 0.3521 0.2500
Ba 0.2489 0.8968 0.2500
Ba 0.3521 0.2489 0.7500
Ba 0.6479 0.7511 0.2500
Ba 0.7511 0.1032 0.7500
Ba 0.8968 0.6479 0.7500
Zr 0.3333 0.6667 0.7500
Zr 0.6667 0.3333 0.2500
N 0.1332 0.3945 0.7500
N 0.2613 0.8668 0.7500
N 0.3945 0.2613 0.2500
N 0.6056 0.7387 0.7500
N 0.7387 0.1332 0.2500
N 0.8668 0.6056 0.2500

***

[4]
Here is a relaxed BaZrN2 crystal from the Alexandria database. Energies are from GGA-PBE.

Computed properties:
formation energy (no corrections)	0.27	eV per atom
E	-6.512	eV/atom

Cell: 4.4176 4.4176 4.4176 Å, 60.00 60.00 60.00°
Positions (direct):
Ba 0.0000 0.0000 0.0000
Zr 0.5000 0.5000 0.5000
N 0.2500 0.2500 0.2500
N 0.7500 0.7500 0.7500

***

[5]
Here is a relaxed BaZr3N crystal from the Alexandria database. Energies are from GGA-PBE.

Computed properties:
formation energy (no corrections)	2.87	eV per atom
energy above the lowest structure with this stoichiometry	2933	meV/atom
E	-4.308	eV/atom

Cell: 5.2553 5.2553 5.2553 Å, 90.00 90.00 90.00°
Positions (direct):
Ba 0.0000 0.0000 0.0000
Zr 0.0000 0.0000 0.5000
Zr 0.0000 0.5000 0.0000
Zr 0.5000 0.0000 0.0000
N 0.5000 0.5000 0.5000

***

[6]
Here is a relaxed Ba2Na17 crystal from the Alexandria database. Energies are from GGA-PBE.

Computed properties:
energy relative to the elements	0.015	eV/atom
E	-1.368	eV/atom

Cell: 9.2378 9.2378 9.2378 Å, 82.19 82.19 82.19°
Positions (direct):
Ba 0.1582 0.1582 0.1582
Ba 0.8418 0.8418 0.8418
Na 0.0000 0.5000 0.5000
Na 0.1477 0.1477 0.6521
Na 0.1477 0.6521 0.1477
Na 0.2008 0.5000 0.7993
Na 0.2008 0.7993 0.5000
Na 0.3479 0.8523 0.8523
Na 0.3997 0.3997 0.3997
Na 0.5000 0.0000 0.5000
Na 0.5000 0.2008 0.7992
Na 0.5000 0.5000 0.0000
Na 0.5000 0.7992 0.2008
Na 0.6003 0.6003 0.6003
Na 0.6521 0.1477 0.1477
Na 0.7992 0.2008 0.5000
Na 0.7992 0.5000 0.2008
Na 0.8523 0.3479 0.8523
Na 0.8523 0.8523 0.3479

***

[7]
Here is a relaxed Ba5Na crystal from the Alexandria database. Energies are from GGA-PBE.

Computed properties:
energy relative to the elements	0.020	eV/atom
energy above the lowest structure with this stoichiometry	0	meV/atom
E	-1.802	eV/atom

Cell: 11.0778 11.0778 4.8662 Å, 90.00 90.00 142.98°
Positions (direct):
Ba 0.0000 0.0000 0.0000
Ba 0.1751 0.8249 0.5000
Ba 0.3473 0.6527 0.0000
Ba 0.6527 0.3473 0.0000
Ba 0.8249 0.1751 0.5000
Na 0.5000 0.5000 0.5000

***

[8]
Here is a relaxed BaNa4 crystal from the Alexandria database. Energies are from GGA-PBE.

Computed properties:
energy relative to the elements	0.027	eV/atom
energy above the lowest structure with this stoichiometry	0	meV/atom
E	-1.413	eV/atom

Cell: 6.6152 6.6152 6.6232 Å, 103.45 103.45 122.23°
Positions (direct):
Ba 0.0000 0.0000 0.0000
Na 0.1995 0.5005 0.6991
Na 0.5005 0.1995 0.6991
Na 0.4995 0.8005 0.3009
Na 0.8005 0.4995 0.3009

***

Number 1: M_tot 0.00 μB per cell. Number 2: M_tot 0.00 μB per cell. Number 3: M_tot 1.98 μB per cell. Number 4: M_tot 0.00 μB per cell. Number 5: M_tot 0.00 μB per cell. Number 6: M_tot 0.00 μB per cell. Number 7: M_tot 0.00 μB per cell. Number 8: M_tot 0.00 μB per cell.